(1)
DFT (PBE-GGA) results for a geometry-optimized SiTcOs2 structure.

Summary:
The crystal system is monoclinic. The calculation puts the mass density at 15.01 g cm⁻³. The calculation puts the total energy at -9.6142 eV per atom. Its uncorrected formation energy is -52.1 meV/atom.

Structure (CIF):
```
data_SiTcOs2
_chemical_formula_sum 'Si1 Tc1 Os2'
_space_group_name_H-M_alt 'P 1 2/m 1'
_space_group_IT_number 10
_cell_length_a 2.774
_cell_length_b 4.015
_cell_length_c 5.192
_cell_angle_alpha 90.00
_cell_angle_beta 104.33
_cell_angle_gamma 90.00
loop_
_space_group_symop_operation_xyz
'x,y,z'
'-x,-y,-z'
'-x,y,-z'
'x,-y,z'
loop_
_atom_site_label
_atom_site_type_symbol
_atom_site_fract_x
_atom_site_fract_y
_atom_site_fract_z
_atom_site_occupancy
Si1 Si 0.000 0.000 0.000 1
Tc1 Tc 0.000 0.000 0.500 1
Os1 Os 0.373 0.500 0.237 1
```

(2)
DFT (PBE-GGA) results for a geometry-optimized RbCaZn2 structure.

Summary:
The calculation puts the formation energy at 17 kJ/mol of atoms. The relative energy among the computed polymorphs is 0 meV per atom. The crystal system is cubic. The calculation puts the mass density at 3.36 g cm⁻³. The calculation puts the total energy at -1.1981 eV per atom.

Structure (CIF):
```
data_RbCaZn2
_chemical_formula_sum 'Rb4 Ca4 Zn8'
_space_group_name_H-M_alt 'F m -3 m'
_space_group_IT_number 225
_space_group_name_Hall '-F 4 2 3'
_cell_length_a 7.973
_cell_length_b 7.973
_cell_length_c 7.973
_cell_angle_alpha 90.00
_cell_angle_beta 90.00
_cell_angle_gamma 90.00
loop_
_atom_site_label
_atom_site_type_symbol
_atom_site_fract_x
_atom_site_fract_y
_atom_site_fract_z
_atom_site_occupancy
Rb1 Rb 0.000 0.000 0.000 1
Ca1 Ca 0.000 0.000 0.500 1
Zn1 Zn 0.250 0.250 0.250 1
```

(3)
DFT (PBE-GGA) results for a geometry-optimized AgAsRhBr2 structure.

Summary:
The relative energy among the computed polymorphs is 409 meV per atom. The crystal system is tetragonal. The calculation puts the mass density at 5.66 g cm⁻³. The calculation puts the total energy at -2.9970 eV per atom. Its uncorrected formation energy is 642.6 meV/atom.

Structure (CIF):
```
data_AgAsRhBr2
_chemical_formula_sum 'Ag1 As1 Rh1 Br2'
_space_group_name_H-M_alt 'P 4/m m m'
_space_group_IT_number 123
_space_group_name_Hall '-P 4 2'
_cell_length_a 4.928
_cell_length_b 4.928
_cell_length_c 5.386
_cell_angle_alpha 90.00
_cell_angle_beta 90.00
_cell_angle_gamma 90.00
loop_
_atom_site_label
_atom_site_type_symbol
_atom_site_fract_x
_atom_site_fract_y
_atom_site_fract_z
_atom_site_occupancy
Ag1 Ag 0.000 0.000 0.000 1
As1 As 0.500 0.500 0.000 1
Rh1 Rh 0.000 0.000 0.500 1
Br1 Br 0.000 0.500 0.500 1
```

(4)
DFT (PBE-GGA) results for a geometry-optimized NaLaInCu structure.

Summary:
The calculation puts the formation energy at -15 kJ/mol of atoms. The crystal system is cubic. The calculation puts the mass density at 6.17 g cm⁻³. The calculation puts the total energy at -3.4262 eV per atom.

Structure (CIF):
```
data_NaLaInCu
_chemical_formula_sum 'Na4 La4 In4 Cu4'
_space_group_name_H-M_alt 'F -4 3 m'
_space_group_IT_number 216
_space_group_name_Hall 'F -4 2 3'
_cell_length_a 7.156
_cell_length_b 7.156
_cell_length_c 7.156
_cell_angle_alpha 90.00
_cell_angle_beta 90.00
_cell_angle_gamma 90.00
loop_
_atom_site_label
_atom_site_type_symbol
_atom_site_fract_x
_atom_site_fract_y
_atom_site_fract_z
_atom_site_occupancy
Na1 Na 0.000 0.000 0.000 1
La1 La 0.250 0.250 0.250 1
In1 In 0.250 0.250 0.750 1
Cu1 Cu 0.000 0.000 0.500 1
```

(5)
DFT (PBE-GGA) results for a geometry-optimized AcThSb2 structure.

Summary:
The relative energy among the computed polymorphs is 192 meV per atom. The crystal system is tetragonal. The calculation puts the mass density at 9.28 g cm⁻³. The calculation puts the total energy at -5.8119 eV per atom. Its uncorrected formation energy is -868.7 meV/atom.

Structure (CIF):
```
data_AcThSb2
_chemical_formula_sum 'Ac1 Th1 Sb2'
_space_group_name_H-M_alt 'P 4/m m m'
_space_group_IT_number 123
_space_group_name_Hall '-P 4 2'
_cell_length_a 3.965
_cell_length_b 3.965
_cell_length_c 7.991
_cell_angle_alpha 90.00
_cell_angle_beta 90.00
_cell_angle_gamma 90.00
loop_
_atom_site_label
_atom_site_type_symbol
_atom_site_fract_x
_atom_site_fract_y
_atom_site_fract_z
_atom_site_occupancy
Ac1 Ac 0.000 0.000 0.000 1
Th1 Th 0.000 0.000 0.500 1
Sb1 Sb 0.500 0.500 0.268 1
```

(6)
DFT (PBE-GGA) results for a geometry-optimized LaPtF3 structure.

Summary:
The relative energy among the computed polymorphs is 829 meV per atom. The crystal system is cubic. The calculation puts the mass density at 7.22 g cm⁻³. The calculation puts the total energy at -4.7359 eV per atom. Its uncorrected formation energy is -1419.5 meV/atom.

Structure (CIF):
```
data_LaPtF3
_chemical_formula_sum 'La1 Pt1 F3'
_space_group_name_H-M_alt 'P m -3 m'
_space_group_IT_number 221
_space_group_name_Hall '-P 4 2 3'
_cell_length_a 4.480
_cell_length_b 4.480
_cell_length_c 4.480
_cell_angle_alpha 90.00
_cell_angle_beta 90.00
_cell_angle_gamma 90.00
loop_
_atom_site_label
_atom_site_type_symbol
_atom_site_fract_x
_atom_site_fract_y
_atom_site_fract_z
_atom_site_occupancy
La1 La 0.000 0.000 0.000 1
Pt1 Pt 0.500 0.500 0.500 1
F1 F 0.000 0.500 0.500 1
```

(7)
DFT (PBE-GGA) results for a geometry-optimized Pm2SmTl3 structure.

Summary:
The calculation puts the formation energy at -37 kJ/mol of atoms. The relative energy among the computed polymorphs is 0 meV per atom. The crystal system is tetragonal. The calculation puts the mass density at 10.01 g cm⁻³. The calculation puts the total energy at -3.9403 eV per atom.

Structure (CIF):
```
data_Pm2SmTl3
_chemical_formula_sum 'Pm2 Sm1 Tl3'
_space_group_name_H-M_alt 'P 4/m m m'
_space_group_IT_number 123
_space_group_name_Hall '-P 4 2'
_cell_length_a 3.854
_cell_length_b 3.854
_cell_length_c 11.764
_cell_angle_alpha 90.00
_cell_angle_beta 90.00
_cell_angle_gamma 90.00
loop_
_atom_site_label
_atom_site_type_symbol
_atom_site_fract_x
_atom_site_fract_y
_atom_site_fract_z
_atom_site_occupancy
Pm1 Pm 0.000 0.000 0.167 1
Sm1 Sm 0.000 0.000 0.500 1
Tl1 Tl 0.500 0.500 0.000 1
Tl2 Tl 0.500 0.500 0.335 1
```

(8)
DFT (PBE-GGA) results for a geometry-optimized SrTl7In3 structure.

Summary:
The calculation puts the formation energy at -3 kJ/mol of atoms. The crystal system is trigonal. The calculation puts the mass density at 8.95 g cm⁻³. The calculation puts the total energy at -2.4369 eV per atom.

Structure (CIF):
```
data_SrTl7In3
_chemical_formula_sum 'Sr1 Tl7 In3'
_space_group_name_H-M_alt 'P 3 m 1'
_space_group_IT_number 156
_cell_length_a 6.9457
_cell_length_b 6.9457
_cell_length_c 8.2762
_cell_angle_alpha 90.00
_cell_angle_beta 90.00
_cell_angle_gamma 120.00
loop_
_space_group_symop_operation_xyz
'x,y,z'
'-y,x-y,z'
'-x+y,-x,z'
'-y,-x,z'
'-x+y,y,z'
'x,x-y,z'
loop_
_atom_site_label
_atom_site_type_symbol
_atom_site_fract_x
_atom_site_fract_y
_atom_site_fract_z
_atom_site_occupancy
Sr1 Sr 0.0000 0.0000 0.0000 1
Tl1 Tl 0.3333 0.6667 0.3077 1
Tl2 Tl 0.3467 0.1734 0.3505 1
Tl3 Tl 0.5044 0.0088 0.9726 1
In1 In 0.1723 0.3445 0.6535 1
```

(9)
DFT (PBE-GGA) results for a geometry-optimized Er3TlPb12 structure.

Summary:
The calculation puts the formation energy at -17 kJ/mol of atoms. The crystal system is tetragonal. The calculation puts the mass density at 11.22 g cm⁻³. The calculation puts the total energy at -3.9614 eV per atom.

Structure (CIF):
```
data_Er3TlPb12
_chemical_formula_sum 'Er3 Tl1 Pb12'
_space_group_name_H-M_alt 'P 4/m m m'
_space_group_IT_number 123
_space_group_name_Hall '-P 4 2'
_cell_length_a 4.854
_cell_length_b 4.854
_cell_length_c 20.051
_cell_angle_alpha 90.00
_cell_angle_beta 90.00
_cell_angle_gamma 90.00
loop_
_atom_site_label
_atom_site_type_symbol
_atom_site_fract_x
_atom_site_fract_y
_atom_site_fract_z
_atom_site_occupancy
Er1 Er 0.000 0.000 0.000 1
Er2 Er 0.000 0.000 0.238 1
Tl1 Tl 0.000 0.000 0.500 1
Pb1 Pb 0.000 0.500 0.121 1
Pb2 Pb 0.000 0.500 0.370 1
Pb3 Pb 0.500 0.500 0.000 1
Pb4 Pb 0.500 0.500 0.247 1
Pb5 Pb 0.500 0.500 0.500 1
```

(10)
DFT (PBE-GGA) results for a geometry-optimized PmSb3Pd6 structure.

Summary:
The crystal system is triclinic. The calculation puts the mass density at 9.66 g cm⁻³. The calculation puts the total energy at -5.3723 eV per atom. Its uncorrected formation energy is -544.9 meV/atom.

Structure (CIF):
```
data_PmSb3Pd6
_chemical_formula_sum 'Pm1 Sb3 Pd6'
_space_group_name_H-M_alt 'P 1'
_space_group_IT_number 1
_cell_length_a 5.638
_cell_length_b 5.692
_cell_length_c 7.134
_cell_angle_alpha 72.61
_cell_angle_beta 89.80
_cell_angle_gamma 65.86
loop_
_space_group_symop_operation_xyz
'x,y,z'
loop_
_atom_site_label
_atom_site_type_symbol
_atom_site_fract_x
_atom_site_fract_y
_atom_site_fract_z
_atom_site_occupancy
Pm1 Pm 0.000 0.000 0.000 1
Sb1 Sb 0.351 0.354 0.894 1
Sb2 Sb 0.681 0.982 0.573 1
Sb3 Sb 0.926 0.425 0.245 1
Pd1 Pd 0.088 0.566 0.528 1
Pd2 Pd 0.178 0.003 0.573 1
Pd3 Pd 0.421 0.434 0.243 1
Pd4 Pd 0.532 0.898 0.240 1
Pd5 Pd 0.577 0.709 0.907 1
Pd6 Pd 0.641 0.455 0.608 1
```

(11)
DFT (PBE-GGA) results for a geometry-optimized LaZrO2F structure.

Summary:
The crystal system is tetragonal. The calculation puts the mass density at 4.78 g cm⁻³. The calculation puts the total energy at -6.8606 eV per atom. Its uncorrected formation energy is -1808.0 meV/atom.

Structure (CIF):
```
data_LaZrO2F
_chemical_formula_sum 'La1 Zr1 O2 F1'
_space_group_name_H-M_alt 'P 4/m m m'
_space_group_IT_number 123
_space_group_name_Hall '-P 4 2'
_cell_length_a 4.679
_cell_length_b 4.679
_cell_length_c 4.465
_cell_angle_alpha 90.00
_cell_angle_beta 90.00
_cell_angle_gamma 90.00
loop_
_atom_site_label
_atom_site_type_symbol
_atom_site_fract_x
_atom_site_fract_y
_atom_site_fract_z
_atom_site_occupancy
La1 La 0.000 0.000 0.000 1
Zr1 Zr 0.500 0.500 0.500 1
O1 O 0.000 0.500 0.000 1
F1 F 0.000 0.000 0.500 1
```

(12)
DFT (PBE-GGA) results for a geometry-optimized Li2MgPd3 structure.

Summary:
The calculation puts the formation energy at -54 kJ/mol of atoms. The crystal system is orthorhombic. The calculation puts the mass density at 6.90 g cm⁻³. The calculation puts the total energy at -4.0549 eV per atom.

Structure (CIF):
```
data_Li2MgPd3
_chemical_formula_sum 'Li8 Mg4 Pd12'
_space_group_name_H-M_alt 'C m m m'
_space_group_IT_number 65
_space_group_name_Hall '-C 2 2'
_cell_length_a 4.339
_cell_length_b 12.983
_cell_length_c 6.104
_cell_angle_alpha 90.00
_cell_angle_beta 90.00
_cell_angle_gamma 90.00
loop_
_atom_site_label
_atom_site_type_symbol
_atom_site_fract_x
_atom_site_fract_y
_atom_site_fract_z
_atom_site_occupancy
Li1 Li 0.000 0.000 0.000 1
Li2 Li 0.000 0.000 0.500 1
Li3 Li 0.000 0.332 0.000 1
Mg1 Mg 0.000 0.335 0.500 1
Pd1 Pd 0.000 0.165 0.241 1
Pd2 Pd 0.000 0.500 0.240 1
```

What did the fifth record say?
DFT (PBE-GGA) results for a geometry-optimized AcThSb2 structure.

Summary:
The relative energy among the computed polymorphs is 192 meV per atom. The crystal system is tetragonal. The calculation puts the mass density at 9.28 g cm⁻³. The calculation puts the total energy at -5.8119 eV per atom. Its uncorrected formation energy is -868.7 meV/atom.

Structure (CIF):
```
data_AcThSb2
_chemical_formula_sum 'Ac1 Th1 Sb2'
_space_group_name_H-M_alt 'P 4/m m m'
_space_group_IT_number 123
_space_group_name_Hall '-P 4 2'
_cell_length_a 3.965
_cell_length_b 3.965
_cell_length_c 7.991
_cell_angle_alpha 90.00
_cell_angle_beta 90.00
_cell_angle_gamma 90.00
loop_
_atom_site_label
_atom_site_type_symbol
_atom_site_fract_x
_atom_site_fract_y
_atom_site_fract_z
_atom_site_occupancy
Ac1 Ac 0.000 0.000 0.000 1
Th1 Th 0.000 0.000 0.500 1
Sb1 Sb 0.500 0.500 0.268 1
```